# Ti2AlGe

A relaxed structure of Ti2AlGe (PBE, Alexandria via LeMat-Bulk).

The structure belongs to space group Pnma (No. 62); the cell edges are 7.2099, 3.2728 and 11.8859 Å and the angles 90.00°, 90.00° and 90.00°. The inequivalent atoms are Ti at (0.1665, 0.2500, 0.0020), Ti at (0.1836, 0.7500, 0.2237), Al at (0.0347, 0.2500, 0.5848) and Ge at (0.0877, 0.7500, 0.8318).

The formation energy is -0.264 eV per atom.

=====

# TiAl3Ge

A relaxed structure of TiAl3Ge (PBE, Alexandria via LeMat-Bulk).

The structure belongs to space group P4mm (No. 99); the cell edges are 3.9955, 3.9955 and 10.6078 Å and the angles 90.00°, 90.00° and 90.00°. The inequivalent atoms are Ti at (0.0000, 0.5000, 0.0000), Al at (0.0000, 0.0000, 0.1891), Al at (0.0000, 0.0000, 0.8095), Al at (0.0000, 0.5000, 0.6150), Al at (0.5000, 0.5000, 0.4154), Al at (0.5000, 0.5000, 0.8097), Ge at (0.0000, 0.0000, 0.4315) and Ge at (0.5000, 0.5000, 0.1751).

The formation energy is -0.153 eV per atom.

=====

# Y2TiAlGe

A relaxed structure of Y2TiAlGe (PBE, Alexandria via LeMat-Bulk).

The structure belongs to space group P4/mmm (No. 123); the cell edges are 5.1907, 5.1907 and 5.0093 Å and the angles 90.00°, 90.00° and 90.00°. The inequivalent atoms are Y at (0.0000, 0.5000, 0.0000), Ti at (0.0000, 0.0000, 0.0000), Al at (0.0000, 0.0000, 0.5000) and Ge at (0.5000, 0.5000, 0.5000).

The formation energy is 0.573 eV per atom.

=====

# Y2TiAlGe

A relaxed structure of Y2TiAlGe (PBE, Alexandria via LeMat-Bulk).

The structure belongs to space group P4/mmm (No. 123); the cell edges are 5.2419, 5.2419 and 4.9188 Å and the angles 90.00°, 90.00° and 90.00°. The inequivalent atoms are Y at (0.0000, 0.5000, 0.0000), Ti at (0.0000, 0.0000, 0.0000), Al at (0.5000, 0.5000, 0.5000) and Ge at (0.0000, 0.0000, 0.5000).

The formation energy is 0.415 eV per atom.

=====

# AlTlGe3

A relaxed structure of AlTlGe3 (PBE, Alexandria via LeMat-Bulk).

The structure belongs to space group Pm-3m (No. 221); the cell edges are 5.3680, 5.3680 and 5.3680 Å and the angles 90.00°, 90.00° and 90.00°. The inequivalent atoms are Al at (0.0000, 0.0000, 0.0000), Tl at (0.5000, 0.5000, 0.5000) and Ge at (0.0000, 0.5000, 0.5000).

The formation energy is 1.155 eV per atom.

=====

# Al2TlGe

A relaxed structure of Al2TlGe (PBE, Alexandria via LeMat-Bulk).

The structure belongs to space group R-3m (No. 166, hexagonal axes); the cell edges are 4.0131, 4.0131 and 19.6224 Å and the angles 90.00°, 90.00° and 120.00°. The inequivalent atoms are Al at (0.0000, 0.0000, 0.2281), Tl at (0.0000, 0.0000, 0.0000) and Ge at (0.0000, 0.0000, 0.5000).

The formation energy is 0.187 eV per atom.